w | {
  "formula": "Ca2Tc",
  "functional": "GGA-PBEsol",
  "state": "optimized geometry",
  "lattice": [[3.6790, 0.0000, 0.0000], [-1.8395, 5.7790, 0.0244], [0.0000, -2.9090, 7.8329]],
  "species": ["Ca", "Ca", "Ca", "Ca", "Tc", "Tc"],
  "fractional_positions": [[0.3268, 0.6537, 0.8603], [0.9890, 0.9779, 0.3039], [0.0110, 0.0221, 0.6961], [0.6732, 0.3463, 0.1397], [0.7045, 0.4090, 0.5376], [0.2955, 0.5910, 0.4624]],
  "n_ef_per_ev_cell": 6.77,
  "space_group": "C2/m"
}

***

x | {
  "formula": "Ca2Tc",
  "functional": "GGA-PBEsol",
  "state": "optimized geometry",
  "lattice": [[-1.5391, 1.9829, 1.4871], [-0.5634, -3.3205, 3.8445], [4.0103, 3.1680, -0.0737]],
  "species": ["Ca", "Ca", "Tc"],
  "fractional_positions": [[0.3468, 0.6667, 0.3333], [0.6532, 0.3333, 0.6667], [0.0000, 0.0000, 0.0000]],
  "n_ef_per_ev_cell": 1.80,
  "space_group": "P-3m1"
}

***

w is the most stable structure shown above.